1.
Material: SrCaAcTl
Method: DFT, PBE-GGA
State: optimized geometry

abc: 8.494 8.494 8.494
angles: 90.00 90.00 90.00
Space group F-43m (No. 216)
Symmetry-distinct sites (fractional):
Sr  0.000  0.000  0.000 (multiplicity 4)
Ca  0.250  0.250  0.750 (multiplicity 4)
Ac  0.000  0.000  0.500 (multiplicity 4)
Tl  0.250  0.250  0.250 (multiplicity 4)

Summary:
The density of states at the Fermi level comes out at 13.20 states/eV/cell. The formation energy is -0.110 eV per atom.



2.
Material: SrCa2AcTl4
Method: DFT, PBE-GGA
State: optimized geometry

abc: 5.6827 5.6827 27.8184
angles: 90.00 90.00 120.00
Space group R-3m (No. 166, hexagonal axes)
Symmetry-distinct sites (fractional):
Sr  0.0000  0.0000  0.0000 (multiplicity 3)
Ca  0.0000  0.0000  0.2514 (multiplicity 6)
Ac  0.0000  0.0000  0.5000 (multiplicity 3)
Tl  0.0000  0.0000  0.1244 (multiplicity 6)
Tl  0.0000  0.0000  0.3745 (multiplicity 6)

Summary:
The density of states at the Fermi level comes out at 13.83 states/eV/cell. The formation energy is -0.425 eV per atom.



3.
Material: SrCaAcY
Method: DFT, PBE-GGA
State: optimized geometry

abc: 8.740 8.740 8.740
angles: 90.00 90.00 90.00
Space group F-43m (No. 216)
Symmetry-distinct sites (fractional):
Sr  0.000  0.000  0.000 (multiplicity 4)
Ca  0.250  0.250  0.750 (multiplicity 4)
Ac  0.250  0.250  0.250 (multiplicity 4)
Y  0.000  0.000  0.500 (multiplicity 4)

Summary:
The density of states at the Fermi level comes out at 16.73 states/eV/cell. The formation energy is 0.145 eV per atom.



4.
Material: Ca2Ac8Tb
Method: DFT, PBE-GGA
State: optimized geometry

abc: 11.208 14.655 5.961
angles: 90.00 90.00 90.00
Space group Cmmm (No. 65)
Symmetry-distinct sites (fractional):
Ca  0.000  0.118  0.000 (multiplicity 4)
Ac  0.000  0.252  0.500 (multiplicity 4)
Ac  0.167  0.368  0.000 (multiplicity 8)
Ac  0.175  0.000  0.500 (multiplicity 4)
Tb  0.000  0.500  0.500 (multiplicity 2)

Summary:
The density of states at the Fermi level comes out at 33.13 states/eV/cell. The formation energy is 0.164 eV per atom.



5.
Material: Ca2AcTb
Method: DFT, PBE-GGA
State: optimized geometry

abc: 5.234 5.234 5.743
angles: 90.00 90.00 90.00
Space group P4/mmm (No. 123)
Symmetry-distinct sites (fractional):
Ca  0.000  0.500  0.000 (multiplicity 2)
Ac  0.000  0.000  0.500 (multiplicity 1)
Tb  0.500  0.500  0.500 (multiplicity 1)

Summary:
The density of states at the Fermi level comes out at 6.45 states/eV/cell. The formation energy is 0.136 eV per atom. The calculation puts the distance to the lowest polymorph of the same formula at 89.5 meV per atom.



6.
Material: Ca6Ac8Tb
Method: DFT, PBE-GGA
State: optimized geometry

abc: 10.7745 10.7745 6.5715
angles: 90.00 90.00 120.00
Space group P-3 (No. 147)
Symmetry-distinct sites (fractional):
Ca  0.0952  0.6228  0.2615 (multiplicity 6)
Ac  0.0511  0.7830  0.7675 (multiplicity 6)
Ac  0.3333  0.6667  0.7656 (multiplicity 2)
Tb  0.0000  0.0000  0.5000 (multiplicity 1)

Summary:
The density of states at the Fermi level comes out at 22.32 states/eV/cell. The formation energy is 0.188 eV per atom.



7.
Material: Ca2Ac3Tb2
Method: DFT, PBE-GGA
State: optimized geometry

abc: 5.785 25.846 3.809
angles: 90.00 90.00 90.00
Space group Cmmm (No. 65)
Symmetry-distinct sites (fractional):
Ca  0.000  0.075  0.000 (multiplicity 4)
Ac  0.000  0.342  0.500 (multiplicity 4)
Ac  0.000  0.500  0.500 (multiplicity 2)
Tb  0.000  0.217  0.000 (multiplicity 4)

Summary:
The density of states at the Fermi level comes out at 21.39 states/eV/cell. The formation energy is 0.062 eV per atom.



8.
Material: CaAc6Tb2
Method: DFT, PBE-GGA
State: optimized geometry

abc: 6.7177 6.7177 11.5587
angles: 90.00 90.00 120.00
Space group P-31m (No. 162)
Symmetry-distinct sites (fractional):
Ca  0.0000  0.0000  0.0000 (multiplicity 1)
Ac  0.0000  0.3336  0.2574 (multiplicity 6)
Tb  0.3333  0.6667  0.5000 (multiplicity 2)

Summary:
The density of states at the Fermi level comes out at 12.88 states/eV/cell. The formation energy is 0.490 eV per atom.